(1)
Entry from Alexandria via LeMat-Bulk: a relaxed structure of TaCdPtRh (PBE). Values from VASP.

The structure in Quantum ESPRESSO input format:
```
&SYSTEM
  ibrav = 0, nat = 16, ntyp = 4
/
ATOMIC_SPECIES
Ta 180.95 Ta.upf
Cd 112.41 Cd.upf
Pt 195.08 Pt.upf
Rh 102.91 Rh.upf
CELL_PARAMETERS angstrom
6.450 0.000 0.000
0.000 6.450 0.000
0.000 0.000 6.450
ATOMIC_POSITIONS crystal
Ta 0.000 0.000 0.000
Ta 0.000 0.500 0.500
Ta 0.500 0.000 0.500
Ta 0.500 0.500 0.000
Cd 0.000 0.000 0.500
Cd 0.000 0.500 0.000
Cd 0.500 0.000 0.000
Cd 0.500 0.500 0.500
Pt 0.250 0.250 0.750
Pt 0.250 0.750 0.250
Pt 0.750 0.250 0.250
Pt 0.750 0.750 0.750
Rh 0.250 0.250 0.250
Rh 0.250 0.750 0.750
Rh 0.750 0.250 0.750
Rh 0.750 0.750 0.250
```

raw total energy: -0.25218 Ha/atom

---

(2)
Entry from Alexandria via LeMat-Bulk: a relaxed structure of Ca2YAs2 (PBE). Values from VASP.

The structure in Quantum ESPRESSO input format:
```
&SYSTEM
  ibrav = 0, nat = 10, ntyp = 3
/
ATOMIC_SPECIES
Ca 40.08 Ca.upf
Y 88.91 Y.upf
As 74.92 As.upf
CELL_PARAMETERS angstrom
7.931 0.000 0.000
0.000 7.931 0.000
0.000 0.000 4.134
ATOMIC_POSITIONS crystal
Ca 0.143 0.357 0.000
Ca 0.357 0.857 0.000
Ca 0.643 0.143 0.000
Ca 0.857 0.643 0.000
Y 0.000 0.000 0.500
Y 0.500 0.500 0.500
As 0.166 0.666 0.500
As 0.334 0.166 0.500
As 0.666 0.834 0.500
As 0.834 0.334 0.500
```

raw total energy: -0.18442 Ha/atom
energy above the most stable polymorph in this dataset: 0.000 eV per atom

---

| no. | calculated formation energy (eV per formula unit) |
| --- | --- |
| 1 | -1.29 |
| 2 | -5.33 |